1.
VASP calculation (GGA-PBE) on crystalline BaTl2Pb2 at its relaxed geometry. Values from VASP.

Properties
The calculation puts the formation energy from the elements at -0.8 eV per formula unit. The value obtained for the total energy is -2.982 eV per atom. The symmetry is No. 127. For the total magnetization, the calculation gives 0.0 μB per formula unit. For the offset from the most stable computed form, the calculation gives 61.4 meV/atom.

Structure (Quantum ESPRESSO input):
```
&SYSTEM
  ibrav = 0, nat = 10, ntyp = 3
/
ATOMIC_SPECIES
Ba 137.33 Ba.upf
Tl 204.38 Tl.upf
Pb 207.20 Pb.upf
ATOMIC_POSITIONS angstrom
Ba 0.000 0.000 0.000
Ba 4.676 4.676 0.000
Tl 1.555 3.121 1.958
Tl 3.121 7.797 1.958
Tl 6.232 1.555 1.958
Tl 7.797 6.232 1.958
Pb 1.174 5.850 0.000
Pb 3.502 1.174 0.000
Pb 5.850 8.179 0.000
Pb 8.179 3.502 0.000
CELL_PARAMETERS angstrom
9.353 0.000 0.000
0.000 9.353 0.000
0.000 0.000 3.915
```



2.
VASP calculation (GGA-PBE) on crystalline Sm3Ho5S12 at its relaxed geometry. Values from VASP.

Properties
The value obtained for the total energy is -6.228 eV per atom. The symmetry is No. 230. The raw formation energy comes out at -1.90 eV/atom. For the total magnetization, the calculation gives 0.0 μB per formula unit.

Structure (Quantum ESPRESSO input):
```
&SYSTEM
  ibrav = 0, nat = 80, ntyp = 3
/
ATOMIC_SPECIES
Sm 150.36 Sm.upf
Ho 164.93 Ho.upf
S 32.06 S.upf
ATOMIC_POSITIONS angstrom
Sm 4.038 2.019 0.000
Sm 8.075 4.038 -2.019
Sm 2.019 0.000 4.038
Sm 10.094 0.000 4.038
Sm 0.000 4.038 2.019
Sm 4.038 -2.019 8.075
Sm 4.038 10.094 0.000
Sm 8.075 4.038 6.056
Sm -2.019 8.075 4.038
Sm 6.056 8.075 4.038
Sm 0.000 4.038 10.094
Sm 4.038 6.056 8.075
Ho 0.000 0.000 0.000
Ho 4.038 4.038 -4.038
Ho 4.038 -4.038 4.038
Ho 8.075 0.000 0.000
Ho 12.113 2.019 0.000
Ho 8.075 -4.038 6.056
Ho 6.056 8.075 -4.038
Ho 6.056 0.000 4.038
Ho 4.038 6.056 0.000
Ho 8.075 4.038 2.019
Ho -4.038 4.038 4.038
Ho 0.000 8.075 0.000
Ho 0.000 0.000 8.075
Ho 4.038 4.038 4.038
Ho 0.000 4.038 6.056
Ho 4.038 2.019 8.075
Ho 2.019 8.075 4.038
Ho 2.019 0.000 12.113
Ho 0.000 12.113 2.019
Ho -4.038 6.056 8.075
S 2.462 -0.357 1.110
S 9.651 5.148 -4.395
S 7.718 -1.110 2.462
S 12.470 -1.575 2.927
S 10.537 0.357 1.110
S 9.651 -2.927 4.395
S 1.110 2.462 -0.357
S 11.003 3.680 -1.575
S 5.148 4.395 -1.575
S 6.965 2.462 0.357
S -0.357 1.110 2.462
S 4.395 -1.575 5.148
S 7.718 6.965 -2.462
S 4.395 1.575 2.927
S 6.965 -2.462 7.718
S 5.148 -4.395 9.651
S 2.927 4.395 1.575
S 9.185 5.613 0.357
S 2.462 7.718 -1.110
S 9.651 2.927 3.680
S 4.395 9.651 -2.927
S 7.718 1.110 5.613
S 1.575 2.927 4.395
S 2.462 0.357 6.965
S 5.613 7.718 1.110
S 6.500 5.148 3.680
S 0.357 6.965 2.462
S 3.680 -1.575 11.003
S -1.575 5.148 4.395
S 5.613 0.357 9.185
S -1.110 2.462 7.718
S 5.148 3.680 6.500
S 2.927 12.470 -1.575
S 1.110 10.537 0.357
S 3.680 6.500 5.148
S 0.357 1.110 10.537
S 3.680 9.651 2.927
S 8.433 6.965 5.613
S 1.110 5.613 7.718
S 2.927 3.680 9.651
S -2.927 4.395 9.651
S 6.965 5.613 8.433
S -1.575 11.003 3.680
S -2.462 7.718 6.965
S -4.395 9.651 5.148
S 0.357 9.185 5.613
S -1.575 2.927 12.470
S 5.613 8.433 6.965
CELL_PARAMETERS angstrom
-8.075 8.075 8.075
8.075 -8.075 8.075
8.075 8.075 -8.075
```



3.
VASP calculation (GGA-PBE) on crystalline CaGeCO5 at its relaxed geometry. Values from VASP.

Properties
The value obtained for the total energy is -6.832 eV per atom. The symmetry is No. 15. The raw formation energy comes out at -1.75 eV/atom. For the total magnetization, the calculation gives 0.0 μB per formula unit.

Structure (Quantum ESPRESSO input):
```
&SYSTEM
  ibrav = 0, nat = 16, ntyp = 4
/
ATOMIC_SPECIES
Ca 40.08 Ca.upf
Ge 72.64 Ge.upf
C 12.01 C.upf
O 16.00 O.upf
ATOMIC_POSITIONS angstrom
Ca 1.225 2.889 4.497
Ca 2.533 -2.889 1.499
Ge 3.187 0.000 0.000
Ge 1.879 0.000 2.998
C 2.533 2.600 1.499
C 1.225 -2.600 4.497
O -1.328 0.717 5.460
O 1.578 1.801 2.206
O -0.021 -0.717 2.462
O 3.487 1.801 0.792
O 1.225 0.670 4.497
O 2.533 -0.670 1.499
O 0.271 -1.801 5.205
O 3.779 0.717 3.535
O 2.180 -1.801 3.790
O 5.086 -0.717 0.536
CELL_PARAMETERS angstrom
3.187 -4.160 0.000
3.187 4.160 0.000
-2.615 0.000 5.997
```



4.
VASP calculation (GGA-PBE) on crystalline FePbCl3 at its relaxed geometry. Values from VASP.

Properties
The value obtained for the total energy is -4.030 eV per atom. The symmetry is No. 221. The raw formation energy comes out at -0.49 eV/atom. For the total magnetization, the calculation gives 3.1 μB per formula unit. For the offset from the most stable computed form, the calculation gives 0.0 meV/atom.

Structure (Quantum ESPRESSO input):
```
&SYSTEM
  ibrav = 0, nat = 5, ntyp = 3
/
ATOMIC_SPECIES
Fe 55.84 Fe.upf
Pb 207.20 Pb.upf
Cl 35.45 Cl.upf
ATOMIC_POSITIONS angstrom
Fe 0.000 0.000 0.000
Pb 2.443 2.443 2.443
Cl 0.000 0.000 2.443
Cl 0.000 2.443 0.000
Cl 2.443 0.000 0.000
CELL_PARAMETERS angstrom
4.886 0.000 0.000
0.000 4.886 0.000
0.000 0.000 4.886
```



5.
VASP calculation (GGA-PBE) on crystalline BeRhSe2 at its relaxed geometry. Values from VASP.

Properties
The value obtained for the total energy is -4.270 eV per atom. The symmetry is No. 44. The raw formation energy comes out at 0.24 eV/atom. For the total magnetization, the calculation gives 0.0 μB per formula unit.

Structure (Quantum ESPRESSO input):
```
&SYSTEM
  ibrav = 0, nat = 4, ntyp = 3
/
ATOMIC_SPECIES
Be 9.01 Be.upf
Rh 102.91 Rh.upf
Se 78.96 Se.upf
ATOMIC_POSITIONS angstrom
Be 0.000 0.000 0.000
Rh 1.412 0.000 1.993
Se 0.000 0.000 4.154
Se 0.000 2.425 2.420
CELL_PARAMETERS angstrom
-1.412 2.425 4.691
1.412 -2.425 4.691
1.412 2.425 -4.691
```



- Number 2 is which compound?
  Sm3Ho5S12



- Number 4 is which compound?
  FePbCl3



Repeat the third record exactly.
VASP calculation (GGA-PBE) on crystalline CaGeCO5 at its relaxed geometry. Values from VASP.

Properties
The value obtained for the total energy is -6.832 eV per atom. The symmetry is No. 15. The raw formation energy comes out at -1.75 eV/atom. For the total magnetization, the calculation gives 0.0 μB per formula unit.

Structure (Quantum ESPRESSO input):
```
&SYSTEM
  ibrav = 0, nat = 16, ntyp = 4
/
ATOMIC_SPECIES
Ca 40.08 Ca.upf
Ge 72.64 Ge.upf
C 12.01 C.upf
O 16.00 O.upf
ATOMIC_POSITIONS angstrom
Ca 1.225 2.889 4.497
Ca 2.533 -2.889 1.499
Ge 3.187 0.000 0.000
Ge 1.879 0.000 2.998
C 2.533 2.600 1.499
C 1.225 -2.600 4.497
O -1.328 0.717 5.460
O 1.578 1.801 2.206
O -0.021 -0.717 2.462
O 3.487 1.801 0.792
O 1.225 0.670 4.497
O 2.533 -0.670 1.499
O 0.271 -1.801 5.205
O 3.779 0.717 3.535
O 2.180 -1.801 3.790
O 5.086 -0.717 0.536
CELL_PARAMETERS angstrom
3.187 -4.160 0.000
3.187 4.160 0.000
-2.615 0.000 5.997
```



Repeat the first record exactly.
VASP calculation (GGA-PBE) on crystalline BaTl2Pb2 at its relaxed geometry. Values from VASP.

Properties
The calculation puts the formation energy from the elements at -0.8 eV per formula unit. The value obtained for the total energy is -2.982 eV per atom. The symmetry is No. 127. For the total magnetization, the calculation gives 0.0 μB per formula unit. For the offset from the most stable computed form, the calculation gives 61.4 meV/atom.

Structure (Quantum ESPRESSO input):
```
&SYSTEM
  ibrav = 0, nat = 10, ntyp = 3
/
ATOMIC_SPECIES
Ba 137.33 Ba.upf
Tl 204.38 Tl.upf
Pb 207.20 Pb.upf
ATOMIC_POSITIONS angstrom
Ba 0.000 0.000 0.000
Ba 4.676 4.676 0.000
Tl 1.555 3.121 1.958
Tl 3.121 7.797 1.958
Tl 6.232 1.555 1.958
Tl 7.797 6.232 1.958
Pb 1.174 5.850 0.000
Pb 3.502 1.174 0.000
Pb 5.850 8.179 0.000
Pb 8.179 3.502 0.000
CELL_PARAMETERS angstrom
9.353 0.000 0.000
0.000 9.353 0.000
0.000 0.000 3.915
```